Record 1
Computed, not measured: ThBOs after structural relaxation at the PBE level of DFT.

Cell lengths 3.4905, 4.1825, 7.3444 Å; angles 90.00, 90.00, 90.00 degrees
With the nearest neighbours (Å) after each atom.
Space group Pmma (No. 51)
One atom of each set of equivalent atoms:
Th 0.2500 0.0000 0.2315 x2  4 Os 2.90, 6 B 3.00
B 0.2500 0.5000 0.9383 x2  2 B 1.97
Os 0.2500 0.5000 0.6332 x2  1 B 2.24

Results
N(E_F) ... 2.605 states/eV per cell
Energy of formation ... -0.157 eV per atom
Polymorph energy (0 for the lowest one) ... 0.167 eV per atom
Volume ... 54 Å³/f.u.
E_tot ... -8.599 eV/atom
Crystal system ... orthorhombic

***

Record 2
Computed, not measured: Tl2CuTePb after structural relaxation at the PBE level of DFT.

Cell lengths 5.2601, 5.2601, 5.3668 Å; angles 90.00, 90.00, 90.00 degrees
With the nearest neighbours (Å) after each atom.
Space group P4/mmm (No. 123)
One atom of each set of equivalent atoms:
Tl 0.0000 0.5000 0.0000 x2  2 Cu 2.63
Cu 0.0000 0.0000 0.0000 x1  4 Tl 2.63, 2 Pb 2.68
Te 0.5000 0.5000 0.5000 x1  4 Pb 3.72, 8 Tl 3.76
Pb 0.0000 0.0000 0.5000 x1  2 Cu 2.68

Results
N(E_F) ... 1.924 states/eV per cell
Volume ... 148 Å³/f.u.
E_tot ... -3.114 eV/atom
Crystal system ... tetragonal
Formation energy from raw total energies ... 22 meV/atom

***

Record 3
Computed, not measured: SbSeIN2 after structural relaxation at the PBE level of DFT.

Cell lengths 4.0665, 4.0665, 7.8209 Å; angles 90.00, 90.00, 90.00 degrees
With the nearest neighbours (Å) after each atom.
Space group P4/mmm (No. 123)
One atom of each set of equivalent atoms:
Sb 0.0000 0.0000 0.0000 x1  4 N 2.03
Se 0.5000 0.5000 0.5000 x1  4 I 2.88
I 0.0000 0.0000 0.5000 x1  4 Se 2.88
N 0.0000 0.5000 0.0000 x2  2 Sb 2.03

Results
N(E_F) ... 4.030 states/eV per cell
Polymorph energy (0 for the lowest one) ... 0.060 eV per atom
Volume ... 129 Å³/f.u.
E_tot ... -3.848 eV/atom
Crystal system ... tetragonal
Formation energy from raw total energies ... 1313 meV/atom

***

Question: Which value of E_tot does entry 1 give?
Answer: -8.599 eV/atom